A geometry-optimized K2CrOF3 structure, computed with PBE+U.

The structure in POSCAR format:
```
K2CrOF3
1.0
-0.7458 -2.7436 2.7019
-2.4395 -1.9323 -2.6355
6.7910 -1.2343 -2.2258
K Cr O F
2 1 1 3
direct
0.6452 0.6452 0.2903 K
0.3548 0.3548 0.7097 K
0.0000 0.0000 0.0000 Cr
0.5000 0.0000 0.0000 O
0.0000 0.5000 0.0000 F
0.1509 0.1509 0.3019 F
0.8491 0.8491 0.6981 F
```

Its calculated total energy is -37.64 eV per formula unit. The value obtained for the magnetic moment is 3.00 μB/f.u.